No. 1
Computed, not measured: a geometry-optimized Ca3Sm2WN6 structure at the PBE level of DFT.

```
Ca3Sm2WN6
1.0
5.953 -0.004 0.000
-2.979 5.154 0.000
-0.992 -1.718 5.622
N W Ca Sm
6 1 3 2
Direct
0.927 0.635 0.780
0.635 0.927 0.780
0.365 0.073 0.220
0.779 0.779 0.215
0.073 0.365 0.220
0.221 0.221 0.785
0.000 0.000 0.000
0.500 0.500 0.500
0.160 0.840 0.500
0.840 0.160 0.500
0.333 0.667 0.000
0.667 0.333 0.000
```

- Raw total energy: -7.622 eV/atom
- Energy relative to the elements, uncorrected: -1.0930 eV per atom


No. 2
Computed, not measured: a geometry-optimized CaSm2WN4 structure at the PBE level of DFT.

```
CaSm2WN4
1.0
-0.677 1.866 2.749
-5.498 -0.303 -3.239
-3.108 -10.322 6.240
W Sm N Ca
2 4 8 2
Direct
0.817 0.633 0.750
0.183 0.367 0.250
0.628 0.257 0.462
0.372 0.743 0.962
0.372 0.743 0.538
0.628 0.257 0.038
0.735 0.470 0.877
0.576 0.153 0.250
0.735 0.470 0.623
0.000 0.000 0.000
0.424 0.847 0.750
0.265 0.530 0.123
0.265 0.530 0.377
0.000 0.000 0.500
0.930 0.859 0.250
0.070 0.141 0.750
```

- Raw total energy: -8.160 eV/atom
- Energy relative to the elements, uncorrected: -0.9483 eV per atom
- D(E_F): 7.2 states/eV per cell


No. 3
Computed, not measured: a geometry-optimized CaSnN structure at the PBE level of DFT.

```
CaSnN
1.0
-5.697 -1.802 -0.609
1.087 -3.639 0.602
2.473 2.609 11.315
N Sn Ca
4 4 4
Direct
0.962 0.000 0.621
0.038 0.000 0.379
0.038 0.500 0.879
0.962 0.500 0.121
0.725 0.000 0.432
0.275 0.000 0.568
0.725 0.500 0.932
0.275 0.500 0.068
0.776 0.500 0.667
0.224 0.000 0.833
0.776 0.000 0.167
0.224 0.500 0.333
```

- Raw total energy: -5.259 eV/atom
- Energy relative to the elements, uncorrected: -0.4819 eV per atom
- D(E_F): 2.1 states/eV per cell


No. 4
Computed, not measured: a geometry-optimized Ca12Sn3N5 structure at the PBE level of DFT.

```
Ca12Sn3N5
1.0
-0.144 6.833 -12.084
10.788 -8.735 0.249
-11.800 -7.179 1.398
Ca N Sn
48 20 12
Direct
0.307 0.890 0.991
0.416 0.110 0.601
0.601 0.610 0.416
0.899 0.084 0.890
0.693 0.584 0.185
0.110 0.693 0.509
0.807 0.315 0.916
0.916 0.815 0.807
0.185 0.101 0.991
0.584 0.693 0.685
0.916 0.101 0.610
0.416 0.307 0.315
0.890 0.307 0.491
0.110 0.416 0.101
0.399 0.009 0.315
0.601 0.991 0.685
0.610 0.601 0.916
0.390 0.399 0.084
0.509 0.193 0.110
0.315 0.509 0.399
0.193 0.509 0.610
0.991 0.390 0.307
0.491 0.807 0.890
0.009 0.610 0.693
0.509 0.315 0.899
0.899 0.815 0.509
0.084 0.185 0.193
0.807 0.491 0.390
0.009 0.399 0.815
0.315 0.807 0.416
0.390 0.991 0.807
0.685 0.193 0.584
0.101 0.185 0.491
0.101 0.916 0.110
0.815 0.916 0.307
0.185 0.084 0.693
0.890 0.584 0.899
0.307 0.416 0.815
0.991 0.601 0.185
0.193 0.685 0.084
0.685 0.491 0.601
0.610 0.009 0.193
0.399 0.390 0.584
0.584 0.890 0.399
0.815 0.899 0.009
0.084 0.899 0.390
0.693 0.110 0.009
0.491 0.685 0.101
0.250 0.875 0.125
0.125 0.750 0.375
0.000 0.000 0.000
0.750 0.125 0.875
0.500 0.000 0.000
0.500 0.000 0.500
0.875 0.250 0.625
0.000 0.000 0.500
0.125 0.375 0.250
0.000 0.500 0.000
0.875 0.625 0.750
0.500 0.500 0.500
0.750 0.625 0.375
0.250 0.375 0.625
0.625 0.875 0.250
0.375 0.250 0.125
0.500 0.500 0.000
0.375 0.125 0.750
0.000 0.500 0.500
0.625 0.750 0.875
0.125 0.875 0.750
0.375 0.625 0.250
0.625 0.250 0.375
0.250 0.625 0.875
0.250 0.125 0.375
0.125 0.250 0.875
0.875 0.750 0.125
0.375 0.750 0.625
0.875 0.125 0.250
0.750 0.375 0.125
0.625 0.375 0.750
0.750 0.875 0.625
```

- Raw total energy: -4.496 eV/atom
- Energy relative to the elements, uncorrected: -0.6131 eV per atom
- D(E_F): 46.7 states/eV per cell


Number 1: ρ 6.633 g/cm³. Number 2: ρ 7.414 g/cm³. Number 3: ρ 4.488 g/cm³. Number 4: ρ 2.925 g/cm³.